1.
Compound: Tb5Pr2Y
Source: Alexandria via LeMat-Bulk
Functional: PBE
Structure: optimized geometry

Cell and atoms, written as extended XYZ:
```
16
Lattice="9.161 0.000 -3.919 -0.990 6.127 -2.314 -0.856 -1.811 10.668" Properties=species:S:1:pos:R:3 pbc="T T T"
Y -0.428 -0.906 5.334
Y 3.658 2.158 2.217
Pr 4.435 4.356 4.141
Pr 0.427 1.293 7.224
Pr 2.881 -0.040 0.294
Pr 6.889 3.024 -2.790
Tb 7.009 2.759 1.486
Tb 0.307 1.557 2.948
Tb 5.891 -0.305 3.334
Tb 0.302 1.532 -0.813
Tb 3.975 3.022 -1.147
Tb 7.014 2.784 5.248
Tb 1.426 4.621 1.101
Tb 1.235 4.358 5.114
Tb 3.341 1.294 5.582
Tb 6.081 -0.042 -0.680
```

Magnetization: 0.0 μB/cell
ρ: 7.26 g/cm3
DOS(E_F): 24.03 states/eV per cell
ΔE_f: 0.1606 eV/atom
Energy above the lowest structure with this stoichiometry: 0.143 eV/atom
Symmetry: C2/c (15)



2.
Compound: TaTcRh2
Source: Alexandria via LeMat-Bulk
Functional: PBE
Structure: optimized geometry

Cell and atoms, written as extended XYZ:
```
4
Lattice="-3.379 -1.170 -3.239 -0.899 -2.099 -4.250 -1.049 -4.370 1.445" Properties=species:S:1:pos:R:3 pbc="T T T"
Tc -1.332 -1.910 -1.511
Ta -3.995 -5.730 -4.533
Rh -2.666 -3.799 -3.048
Rh -4.275 -3.290 -7.463
```

Magnetization: 0.0 μB/cell
ρ: 13.26 g/cm3
DOS(E_F): 4.13 states/eV per cell
ΔE_f: -0.2143 eV/atom
Energy above the lowest structure with this stoichiometry: 0.189 eV/atom
Symmetry: C2/m (12)



3.
Compound: GdCdGePd
Source: Alexandria via LeMat-Bulk
Functional: PBE
Structure: optimized geometry

Cell and atoms, written as extended XYZ:
```
4
Lattice="4.877 0.000 0.000 2.439 4.224 0.000 2.439 1.408 3.982" Properties=species:S:1:pos:R:3 pbc="T T T"
Ge 2.439 1.408 0.996
Gd 4.877 2.816 1.991
Pd 7.316 4.224 2.987
Cd 0.000 0.000 0.000
```

Magnetization: 7.1 μB/cell
ρ: 9.08 g/cm3
DOS(E_F): 2.06 states/eV per cell
ΔE_f: -0.5220 eV/atom
Symmetry: F-43m (216)



4.
Compound: SmDy3Th4As8
Source: Alexandria via LeMat-Bulk
Functional: PBE
Structure: optimized geometry

Cell and atoms, written as extended XYZ:
```
16
Lattice="8.423 0.000 0.000 0.000 8.376 -0.038 -4.211 -4.208 5.958" Properties=species:S:1:pos:R:3 pbc="T T T"
Dy 4.211 4.188 -0.019
Dy 2.106 2.084 2.960
Dy -2.106 2.084 2.960
Th 4.211 0.000 0.000
Th -2.106 -2.104 2.979
Th 0.000 0.000 0.000
Th 2.106 -2.104 2.979
As 2.090 2.049 5.900
As -2.090 2.049 5.900
As 4.211 4.136 2.921
As 0.000 4.136 2.944
As 2.122 2.120 0.020
As 0.000 0.032 3.000
As 4.211 0.032 2.976
As 6.301 2.120 0.020
Sm 0.000 4.188 -0.019
```

Magnetization: 0.0 μB/cell
ρ: 8.58 g/cm3
DOS(E_F): 7.78 states/eV per cell
ΔE_f: -1.4699 eV/atom
Symmetry: R-3m (166)